An optimized crystal structure of Na2VTe, computed with GGA-PBE.

a b c (Å): 10.7084 10.7084 8.0152
angles (deg): 48.09 48.09 90.00
Closest atoms and distances in Å follow each position.
Atoms (fractional coordinates):
Na  0.7491  0.1250  0.2500  2 Te 3.07
Na  0.0009  0.6250  0.2500  2 Te 3.07
Na  0.3750  0.2509  0.7500  2 Te 3.07
Na  0.8750  0.9991  0.7500  2 Te 3.07
Te  0.0000  0.0000  0.0000  2 V 2.63
Te  0.7500  0.2500  0.5000  2 V 2.63
V  0.5000  0.5000  0.0000  2 Te 2.63
V  0.2500  0.7500  0.5000  2 Te 2.63

Summary:
- uncorrected formation energy (eV/atom) = 0.234
- VASP energy (eV/cell) = -27.927
- magnetization (μB/f.u.) = 4.18